--- a ---
A geometry-optimized KHg3Pd structure, computed with GGA-PBE.

Results
Density of states at the Fermi level   1.8 states/eV/f.u.
Volume   297.2 Å³/cell

Cell: 7.580 7.580 9.563 Å, 106.46 106.46 34.50°
Fractional coordinates of all 10 atoms:
1 K 0.117 0.117 0.358
2 K 0.883 0.883 0.642
3 Hg 0.091 0.091 0.971
4 Hg 0.240 0.240 0.758
5 Hg 0.420 0.420 0.358
6 Hg 0.580 0.580 0.642
7 Hg 0.760 0.760 0.242
8 Hg 0.909 0.909 0.029
9 Pd 0.299 0.299 0.076
10 Pd 0.701 0.701 0.924

***

--- b ---
A geometry-optimized KHg3Pd structure, computed with GGA-PBE.

Results
Density of states at the Fermi level   6.3 states/eV/f.u.
Volume   232.7 Å³/cell

Cell: 6.151 6.151 6.151 Å, 90.00 90.00 90.00°
Fractional coordinates of all 5 atoms:
1 K 0.000 0.000 0.000
2 Hg 0.000 0.000 0.500
3 Hg 0.000 0.500 0.000
4 Hg 0.500 0.000 0.000
5 Pd 0.500 0.500 0.500

***

Quick ranking, most stable first: a, b.

***

--- a ---
A geometry-optimized AgTeCl2 structure, computed with GGA-PBE.

Results
Density of states at the Fermi level   2.5 states/eV/f.u.
Volume   95.5 Å³/cell

Cell: 3.510 3.510 8.795 Å, 90.00 90.00 118.21°
Fractional coordinates of all 4 atoms:
1 Ag 0.000 0.000 0.000
2 Te 0.000 0.000 0.500
3 Cl 0.500 0.500 0.208
4 Cl 0.500 0.500 0.792

***

--- b ---
A geometry-optimized AgTeCl2 structure, computed with GGA-PBE.

Results
Density of states at the Fermi level   3.1 states/eV/f.u.
Volume   100.2 Å³/cell

Cell: 5.886 5.886 5.886 Å, 147.87 109.23 79.85°
Fractional coordinates of all 4 atoms:
1 Ag 0.000 0.000 0.000
2 Te 0.500 0.500 0.000
3 Cl 0.232 0.732 0.500
4 Cl 0.768 0.268 0.500

***

Quick ranking, most stable first: a, b.